DFT (GGA-PBE) results for BeNiTe after structural relaxation.

a = 8.920 Å, b = 8.920 Å, c = 8.920 Å
α = 23.97°, β = 23.97°, γ = 23.97°
Element x y z (fractional)
Be1 0.000 0.000 0.000
Be2 0.285 0.285 0.285
Ni1 0.631 0.631 0.631
Ni2 0.911 0.911 0.911
Te1 0.189 0.189 0.189
Te2 0.725 0.725 0.725

Summary:
E = -4.42 eV per atom
volume = 17.16 A^3/atom
spin magnetization = 0.0 μB per formula unit
space-group type = R3m, No. 160
raw formation energy = -0.208 eV/atom
D(E_F) = 3.1 states/eV per cell

***

DFT (GGA-PBE) results for AcSmMgGa after structural relaxation.

a = 5.485 Å, b = 5.485 Å, c = 5.485 Å
α = 60.00°, β = 60.00°, γ = 60.00°
Element x y z (fractional)
Ac1 0.000 0.000 0.000
Sm1 0.500 0.500 0.500
Mg1 0.250 0.250 0.250
Ga1 0.750 0.750 0.750

Summary:
E = -3.62 eV per atom
volume = 29.18 A^3/atom
spin magnetization = 0.0 μB per formula unit
energy of formation from the pure elements = -0.26 eV/atom
space-group type = F-43m, No. 216
D(E_F) = 3.9 states/eV per cell

***

DFT (GGA-PBE) results for Fe3Pt after structural relaxation.

a = 4.576 Å, b = 4.576 Å, c = 2.656 Å
α = 90.00°, β = 90.00°, γ = 109.46°
Element x y z (fractional)
Fe1 0.000 0.000 0.000
Fe2 0.000 0.500 0.500
Fe3 0.500 0.000 0.500
Pt1 0.500 0.500 0.000

Summary:
E = -7.90 eV per atom
volume = 13.11 A^3/atom
spin magnetization = 8.4 μB per formula unit
energy of formation from the pure elements = -0.04 eV/atom
space-group type = Cmmm, No. 65
D(E_F) = 4.3 states/eV per cell

***

DFT (GGA-PBE) results for CaLa2AlN after structural relaxation.

a = 5.100 Å, b = 5.100 Å, c = 4.910 Å
α = 90.00°, β = 90.00°, γ = 90.00°
Element x y z (fractional)
Ca1 0.000 0.000 0.000
La1 0.000 0.500 0.500
La2 0.500 0.000 0.500
Al1 0.500 0.500 0.000
N1 0.000 0.000 0.500

Summary:
E = -5.51 eV per atom
volume = 25.54 A^3/atom
spin magnetization = 0.0 μB per formula unit
space-group type = P4/mmm, No. 123
raw formation energy = -0.723 eV/atom
D(E_F) = 2.5 states/eV per cell

***

DFT (GGA-PBE) results for KInF2 after structural relaxation.

a = 7.148 Å, b = 7.148 Å, c = 7.148 Å
α = 30.20°, β = 30.20°, γ = 30.20°
Element x y z (fractional)
K1 0.000 0.000 0.000
In1 0.169 0.169 0.169
F1 0.413 0.413 0.413
F2 0.589 0.589 0.589

Summary:
E = -4.01 eV per atom
volume = 20.47 A^3/atom
spin magnetization = 0.0 μB per formula unit
space-group type = R3m, No. 160
raw formation energy = -2.117 eV/atom
D(E_F) = 0.0 states/eV per cell

***

DFT (GGA-PBE) results for AcUOs2 after structural relaxation.

a = 9.717 Å, b = 9.717 Å, c = 9.717 Å
α = 20.56°, β = 20.56°, γ = 20.56°
Element x y z (fractional)
Ac1 0.000 0.000 0.000
U1 0.500 0.500 0.500
Os1 0.106 0.106 0.106
Os2 0.894 0.894 0.894

Summary:
E = -8.74 eV per atom
volume = 24.76 A^3/atom
spin magnetization = 0.0 μB per formula unit
energy of formation from the pure elements = 0.72 eV/atom
space-group type = R-3m, No. 166
D(E_F) = 5.1 states/eV per cell

***

DFT (GGA-PBE) results for NiSeBr3 after structural relaxation.

a = 6.898 Å, b = 7.796 Å, c = 12.751 Å
α = 90.00°, β = 92.66°, γ = 90.00°
Element x y z (fractional)
Ni1 0.056 0.121 0.383
Ni2 0.056 0.879 0.883
Ni3 0.944 0.121 0.117
Ni4 0.944 0.879 0.617
Se1 0.023 0.416 0.339
Se2 0.023 0.584 0.839
Se3 0.977 0.416 0.161
Se4 0.977 0.584 0.661
Br1 0.144 0.156 0.961
Br2 0.144 0.844 0.461
Br3 0.233 0.041 0.226
Br4 0.233 0.959 0.726
Br5 0.325 0.297 0.459
Br6 0.325 0.703 0.959
Br7 0.675 0.297 0.041
Br8 0.675 0.703 0.541
Br9 0.767 0.041 0.274
Br10 0.767 0.959 0.774
Br11 0.856 0.156 0.539
Br12 0.856 0.844 0.039

Summary:
E = -3.03 eV per atom
volume = 34.24 A^3/atom
spin magnetization = 1.0 μB per formula unit
space-group type = P2/c, No. 13
raw formation energy = -0.171 eV/atom
D(E_F) = 14.3 states/eV per cell

***

DFT (GGA-PBE) results for K2HgGe2 after structural relaxation.

a = 8.603 Å, b = 8.603 Å, c = 4.875 Å
α = 90.00°, β = 90.00°, γ = 90.00°
Element x y z (fractional)
K1 0.196 0.304 0.000
K2 0.304 0.804 0.000
K3 0.696 0.196 0.000
K4 0.804 0.696 0.000
Hg1 0.000 0.000 0.500
Hg2 0.500 0.500 0.500
Ge1 0.093 0.593 0.500
Ge2 0.407 0.093 0.500
Ge3 0.593 0.907 0.500
Ge4 0.907 0.407 0.500

Summary:
E = -2.36 eV per atom
volume = 36.08 A^3/atom
spin magnetization = 0.0 μB per formula unit
energy of formation from the pure elements = -0.01 eV/atom
space-group type = P4/mbm, No. 127
D(E_F) = 2.3 states/eV per cell

***

DFT (GGA-PBE) results for Sb2Au5 after structural relaxation.

a = 9.188 Å, b = 9.188 Å, c = 4.971 Å
α = 96.58°, β = 96.58°, γ = 47.86°
Element x y z (fractional)
Sb1 0.065 0.749 0.909
Sb2 0.251 0.935 0.591
Sb3 0.749 0.065 0.409
Sb4 0.935 0.251 0.091
Au1 0.104 0.335 0.805
Au2 0.257 0.456 0.516
Au3 0.335 0.104 0.305
Au4 0.394 0.606 0.250
Au5 0.456 0.257 0.016
Au6 0.544 0.743 0.984
Au7 0.606 0.394 0.750
Au8 0.665 0.896 0.695
Au9 0.743 0.544 0.484
Au10 0.896 0.665 0.195

Summary:
E = -3.48 eV per atom
volume = 22.05 A^3/atom
spin magnetization = 0.0 μB per formula unit
space-group type = C2/c, No. 15
raw formation energy = 0.036 eV/atom
D(E_F) = 5.4 states/eV per cell

***

DFT (GGA-PBE) results for AlFeCu2Pd after structural relaxation.

a = 4.656 Å, b = 4.656 Å, c = 4.603 Å
α = 90.00°, β = 90.00°, γ = 90.00°
Element x y z (fractional)
Al1 0.000 0.000 0.000
Fe1 0.500 0.500 0.000
Cu1 0.000 0.500 0.500
Cu2 0.500 0.000 0.500
Pd1 0.500 0.500 0.500

Summary:
E = -4.16 eV per atom
volume = 19.96 A^3/atom
spin magnetization = 3.4 μB per formula unit
energy of formation from the pure elements = 0.96 eV/atom
space-group type = P4/mmm, No. 123
D(E_F) = 4.1 states/eV per cell

***

DFT (GGA-PBE) results for AcMg3Pt after structural relaxation.

a = 5.090 Å, b = 5.090 Å, c = 5.090 Å
α = 90.00°, β = 90.00°, γ = 90.00°
Element x y z (fractional)
Ac1 0.000 0.000 0.000
Mg1 0.000 0.500 0.500
Mg2 0.500 0.000 0.500
Mg3 0.500 0.500 0.000
Pt1 0.500 0.500 0.500

Summary:
E = -3.38 eV per atom
volume = 26.37 A^3/atom
spin magnetization = 0.0 μB per formula unit
energy of formation from the pure elements = -0.40 eV/atom
space-group type = Pm-3m, No. 221
D(E_F) = 4.6 states/eV per cell

***

DFT (GGA-PBE) results for PRuO after structural relaxation.

a = 5.162 Å, b = 5.162 Å, c = 2.933 Å
α = 105.98°, β = 105.98°, γ = 33.00°
Element x y z (fractional)
P1 0.000 0.000 0.000
Ru1 0.381 0.381 0.385
O1 0.161 0.161 0.156

Summary:
E = -7.29 eV per atom
volume = 13.59 A^3/atom
spin magnetization = 0.3 μB per formula unit
space-group type = Cm, No. 8
raw formation energy = -0.741 eV/atom
D(E_F) = 3.0 states/eV per cell

***

DFT (GGA-PBE) results for Tl2SeS6 after structural relaxation.

a = 4.374 Å, b = 6.894 Å, c = 9.586 Å
α = 69.06°, β = 78.32°, γ = 72.11°
Element x y z (fractional)
Tl1 0.166 0.255 0.413
Tl2 0.834 0.745 0.587
Se1 0.500 0.500 0.500
S1 0.053 0.277 0.869
S2 0.056 0.937 0.210
S3 0.211 0.767 0.920
S4 0.789 0.233 0.080
S5 0.944 0.063 0.790
S6 0.947 0.723 0.131

Summary:
E = -3.71 eV per atom
volume = 28.39 A^3/atom
spin magnetization = 0.0 μB per formula unit
space-group type = P-1, No. 2
raw formation energy = -0.041 eV/atom

***

DFT (GGA-PBE) results for La2Tb4Sm2Ho after structural relaxation.

a = 9.630 Å, b = 9.630 Å, c = 9.681 Å
α = 115.20°, β = 115.20°, γ = 21.84°
Element x y z (fractional)
La1 0.165 0.165 0.000
La2 0.835 0.835 0.000
Tb1 0.020 0.020 0.333
Tb2 0.315 0.315 0.663
Tb3 0.685 0.685 0.337
Tb4 0.980 0.980 0.667
Sm1 0.353 0.353 0.337
Sm2 0.647 0.647 0.663
Ho1 0.500 0.500 0.000

Summary:
E = -4.71 eV per atom
volume = 33.43 A^3/atom
spin magnetization = 0.0 μB per formula unit
energy of formation from the pure elements = 0.00 eV/atom
space-group type = C2/m, No. 12
D(E_F) = 12.9 states/eV per cell

***

DFT (GGA-PBE) results for TbPr2Tm3Se6 after structural relaxation.

a = 9.267 Å, b = 9.267 Å, c = 8.366 Å
α = 105.03°, β = 105.03°, γ = 25.26°
Element x y z (fractional)
Tb1 0.000 0.000 0.000
Pr1 0.332 0.332 0.664
Pr2 0.668 0.668 0.336
Tm1 0.000 0.000 0.500
Tm2 0.330 0.330 0.166
Tm3 0.670 0.670 0.834
Se1 0.161 0.161 0.596
Se2 0.167 0.167 0.068
Se3 0.494 0.494 0.253
Se4 0.506 0.506 0.747
Se5 0.833 0.833 0.932
Se6 0.839 0.839 0.404

Summary:
E = -5.79 eV per atom
volume = 24.63 A^3/atom
spin magnetization = 0.0 μB per formula unit
space-group type = C2/m, No. 12
raw formation energy = -1.746 eV/atom
D(E_F) = 4.9 states/eV per cell

***

DFT (GGA-PBE) results for CaTiAg2F8 after structural relaxation.

a = 4.935 Å, b = 6.890 Å, c = 5.774 Å
α = 90.00°, β = 92.35°, γ = 90.00°
Element x y z (fractional)
Ca1 0.000 0.000 0.000
Ti1 0.000 0.500 0.000
Ag1 0.500 0.257 0.500
Ag2 0.500 0.743 0.500
F1 0.171 0.294 0.838
F2 0.171 0.706 0.838
F3 0.280 0.500 0.231
F4 0.320 0.000 0.270
F5 0.680 0.000 0.730
F6 0.720 0.500 0.769
F7 0.829 0.294 0.162
F8 0.829 0.706 0.162

Summary:
E = -5.25 eV per atom
volume = 16.35 A^3/atom
spin magnetization = 0.0 μB per formula unit
space-group type = P2/m, No. 10
raw formation energy = -2.702 eV/atom
D(E_F) = 0.0 states/eV per cell

***

DFT (GGA-PBE) results for Pr3NdY6 after structural relaxation.

a = 11.030 Å, b = 11.030 Å, c = 6.468 Å
α = 90.00°, β = 90.00°, γ = 119.88°
Element x y z (fractional)
Pr1 0.112 0.888 0.500
Pr2 0.206 0.435 0.107
Pr3 0.435 0.206 0.607
Pr4 0.565 0.794 0.107
Pr5 0.794 0.565 0.607
Pr6 0.888 0.112 0.000
Nd1 0.308 0.692 0.432
Nd2 0.692 0.308 0.932
Y1 0.028 0.445 0.695
Y2 0.124 0.212 0.520
Y3 0.212 0.124 0.020
Y4 0.232 0.768 0.909
Y5 0.445 0.028 0.195
Y6 0.461 0.539 0.709
Y7 0.539 0.461 0.209
Y8 0.555 0.972 0.695
Y9 0.768 0.232 0.409
Y10 0.788 0.876 0.520
Y11 0.876 0.788 0.020
Y12 0.972 0.555 0.195

Summary:
E = -5.65 eV per atom
volume = 34.12 A^3/atom
spin magnetization = 0.0 μB per formula unit
energy of formation from the pure elements = 0.14 eV/atom
space-group type = Cmc2_1, No. 36
D(E_F) = 27.9 states/eV per cell

***

DFT (GGA-PBE) results for CrTe3Au after structural relaxation.

a = 7.216 Å, b = 7.216 Å, c = 7.216 Å
α = 59.67°, β = 59.67°, γ = 59.67°
Element x y z (fractional)
Cr1 0.162 0.162 0.162
Cr2 0.838 0.838 0.838
Te1 0.062 0.771 0.432
Te2 0.229 0.568 0.938
Te3 0.432 0.062 0.771
Te4 0.568 0.938 0.229
Te5 0.771 0.432 0.062
Te6 0.938 0.229 0.568
Au1 0.354 0.354 0.354
Au2 0.646 0.646 0.646

Summary:
E = -4.52 eV per atom
volume = 26.37 A^3/atom
spin magnetization = 2.6 μB per formula unit
space-group type = R-3, No. 148
raw formation energy = -0.053 eV/atom
D(E_F) = 7.2 states/eV per cell

***

DFT (GGA-PBE) results for RbIN2F after structural relaxation.

a = 5.431 Å, b = 5.431 Å, c = 4.610 Å
α = 90.00°, β = 90.00°, γ = 90.00°
Element x y z (fractional)
Rb1 0.000 0.000 0.000
I1 0.500 0.500 0.000
N1 0.000 0.500 0.500
N2 0.500 0.000 0.500
F1 0.500 0.500 0.500

Summary:
E = -2.97 eV per atom
volume = 27.20 A^3/atom
spin magnetization = 5.3 μB per formula unit
space-group type = P4/mmm, No. 123
raw formation energy = 1.234 eV/atom
D(E_F) = 1.2 states/eV per cell

***

DFT (GGA-PBE) results for NdY2HoSc after structural relaxation.

a = 6.970 Å, b = 6.970 Å, c = 7.134 Å
α = 90.00°, β = 90.00°, γ = 107.71°
Element x y z (fractional)
Nd1 0.232 0.768 0.750
Nd2 0.768 0.232 0.250
Y1 0.198 0.198 0.000
Y2 0.198 0.198 0.500
Y3 0.802 0.802 0.000
Y4 0.802 0.802 0.500
Ho1 0.235 0.765 0.250
Ho2 0.765 0.235 0.750
Sc1 0.495 0.505 0.750
Sc2 0.505 0.495 0.250

Summary:
E = -5.39 eV per atom
volume = 33.02 A^3/atom
spin magnetization = 0.0 μB per formula unit
energy of formation from the pure elements = 0.33 eV/atom
space-group type = Cmcm, No. 63
D(E_F) = 12.8 states/eV per cell

***

DFT (GGA-PBE) results for NiOsRu2 after structural relaxation.

a = 2.710 Å, b = 2.711 Å, c = 8.641 Å
α = 81.08°, β = 81.04°, γ = 60.05°
Element x y z (fractional)
Ni1 0.000 0.000 0.000
Os1 0.163 0.165 0.504
Ru1 0.413 0.417 0.754
Ru2 0.579 0.581 0.252

Summary:
E = -8.81 eV per atom
volume = 13.53 A^3/atom
spin magnetization = 0.0 μB per formula unit
energy of formation from the pure elements = 0.08 eV/atom
space-group type = P1, No. 1
D(E_F) = 4.4 states/eV per cell

***

DFT (GGA-PBE) results for Sr3Cu2H4S2 after structural relaxation.

a = 11.603 Å, b = 11.603 Å, c = 11.603 Å
α = 160.04°, β = 160.04°, γ = 28.38°
Element x y z (fractional)
Sr1 0.000 0.000 0.000
Sr2 0.175 0.175 0.000
Sr3 0.825 0.825 0.000
Cu1 0.416 0.416 0.000
Cu2 0.584 0.584 0.000
H1 0.071 0.571 0.500
H2 0.429 0.929 0.500
H3 0.571 0.071 0.500
H4 0.929 0.429 0.500
S1 0.311 0.311 0.000
S2 0.689 0.689 0.000

Summary:
E = -3.93 eV per atom
volume = 16.54 A^3/atom
spin magnetization = 0.0 μB per formula unit
space-group type = I4/mmm, No. 139
D(E_F) = 1.4 states/eV per cell

***

DFT (GGA-PBE) results for CaZr2Ti2 after structural relaxation.

a = 8.316 Å, b = 8.316 Å, c = 3.336 Å
α = 90.00°, β = 90.00°, γ = 90.00°
Element x y z (fractional)
Ca1 0.000 0.000 0.000
Ca2 0.500 0.500 0.000
Zr1 0.166 0.334 0.500
Zr2 0.334 0.834 0.500
Zr3 0.666 0.166 0.500
Zr4 0.834 0.666 0.500
Ti1 0.120 0.620 0.000
Ti2 0.380 0.120 0.000
Ti3 0.620 0.880 0.000
Ti4 0.880 0.380 0.000

Summary:
E = -6.77 eV per atom
volume = 23.07 A^3/atom
spin magnetization = 0.0 μB per formula unit
energy of formation from the pure elements = 0.20 eV/atom
space-group type = P4/mbm, No. 127
D(E_F) = 13.5 states/eV per cell

***

DFT (GGA-PBE) results for BaYAg after structural relaxation.

a = 7.470 Å, b = 7.470 Å, c = 7.470 Å
α = 150.04°, β = 150.04°, γ = 42.88°
Element x y z (fractional)
Ba1 0.000 0.000 0.000
Y1 0.729 0.729 0.000
Ag1 0.329 0.329 0.000

Summary:
E = -3.83 eV per atom
volume = 34.56 A^3/atom
spin magnetization = 0.0 μB per formula unit
energy of formation from the pure elements = -0.08 eV/atom
space-group type = I4mm, No. 107
D(E_F) = 3.5 states/eV per cell